This record from the Alexandria database describes a relaxed structure of ZnCr4NiO8. The functional is PBE+U.

The calculation puts the electronic total energy at -6.948 eV/atom. As for the crystal system: cubic. As for the volume: 10.84 Å³/atom.

a b c (Å): 5.988 5.988 5.988
angles (deg): 60.00 60.00 60.00
Each line ends with the local moment (μB).
Positions (direct):
Zn1 0.000 0.000 0.000  0.02
Cr1 0.375 0.375 0.375  3.01
Cr2 0.375 0.875 0.375  3.01
Cr3 0.875 0.375 0.375  3.01
Cr4 0.375 0.375 0.875  3.01
Ni1 0.750 0.750 0.750  1.73
O1 0.137 0.137 0.137  -0.04
O2 0.137 0.590 0.137  -0.04
O3 0.590 0.137 0.137  -0.04
O4 0.137 0.137 0.590  -0.04
O5 0.614 0.614 0.614  0.02
O6 0.614 0.157 0.614  0.02
O7 0.157 0.614 0.614  0.02
O8 0.614 0.614 0.157  0.02